Entry 1:
GGA-PBE LiTbNdGa, relaxed; spin magnetization = 0.0 μB/f.u.; DFT formation energy = -0.300 eV per atom; raw total energy = -3.88 eV per atom; DOS(E_F) = 4.0 states/eV/f.u.; SG = F-43m, No. 216
1.0
5.1910 0.0000 0.0000
2.5955 4.4956 0.0000
2.5955 1.4985 4.2384
Tb Nd Li Ga
1 1 1 1
Cartesian
0.0000 0.0000 0.0000
5.1910 2.9970 2.1192
7.7865 4.4956 3.1788
2.5955 1.4985 1.0596

Entry 2:
GGA-PBE ErHf4N4, relaxed; spin magnetization = 0.0 μB/f.u.; raw total energy = -10.21 eV per atom; DOS(E_F) = 3.1 states/eV/f.u.; SG = I4/m, No. 87; formation energy without anion corrections = -1.58 eV/atom
1.0
4.1857 0.0000 1.6781
2.0559 5.1874 0.9312
0.1605 -0.1018 5.6589
Hf N Er
4 4 1
Cartesian
2.6291 2.1155 5.5608
3.7731 2.9701 2.7074
5.1354 4.0784 5.3688
1.2668 1.0072 2.8994
3.3860 1.0381 3.6728
4.7335 2.0494 6.3710
1.6687 3.0362 1.8971
3.0162 4.0475 4.5953
0.0000 0.0000 0.0000

Entry 3:
GGA-PBE Mg2HgP, relaxed; spin magnetization = 0.0 μB/f.u.; DFT formation energy = -0.271 eV per atom; raw total energy = -2.50 eV per atom; DOS(E_F) = 0.5 states/eV/f.u.; SG = Amm2, No. 38
1.0
-1.0852 -3.5070 4.2660
-2.8668 -4.7448 0.9719
3.1506 -2.0911 -0.9183
Mg P Hg
2 1 1
Cartesian
-1.1430 -9.9751 4.3662
0.0817 -3.0798 1.1130
-0.8834 -5.0955 2.3924
-0.0586 -7.7069 2.9274

Entry 4:
GGA-PBE MgPaGaAg, relaxed; spin magnetization = 0.4 μB/f.u.; DFT formation energy = -0.067 eV per atom; raw total energy = -4.31 eV per atom; DOS(E_F) = 4.9 states/eV/f.u.; SG = F-43m, No. 216
1.0
-4.2368 2.5109 0.2710
-3.3251 -0.3749 -3.6238
-4.2404 -2.3949 0.7819
Mg Pa Ag Ga
1 1 1 1
Cartesian
-5.9011 -0.1294 -1.2855
0.0000 0.0000 0.0000
-2.9506 -0.0647 -0.6427
-8.8517 -0.1942 -1.9282

Entry 5:
GGA-PBE Mg2TiSb2, relaxed; spin magnetization = 0.0 μB/f.u.; raw total energy = -3.78 eV per atom; DOS(E_F) = 2.7 states/eV/f.u.; SG = I4/mmm, No. 139; formation energy without anion corrections = 0.08 eV/atom
1.0
3.9427 0.0000 0.0000
0.0000 3.9427 0.0000
1.9714 1.9714 7.4465
Sb Ti Mg
2 1 2
Cartesian
3.9427 3.9427 5.9567
1.9714 1.9714 1.4899
0.0000 0.0000 0.0000
1.9714 3.9427 3.7233
3.9427 1.9714 3.7233

Entry 6:
GGA-PBE TaMn2Fe, relaxed; spin magnetization = 3.8 μB/f.u.; DFT formation energy = 0.030 eV per atom; raw total energy = -9.63 eV per atom; DOS(E_F) = 4.6 states/eV/f.u.; SG = Imm2, No. 44
1.0
-0.5852 -1.3563 4.6296
-2.7112 -2.7563 2.9440
1.6344 -3.6387 0.9607
Mn Fe Ta
2 1 1
Cartesian
-0.4566 -1.9414 2.1884
-3.2921 -4.1128 7.5683
-1.2126 -5.8094 6.3546
-0.8283 -3.8757 4.2638

Entry 7:
GGA-PBE CaLa2Hf, relaxed; spin magnetization = 0.0 μB/f.u.; DFT formation energy = 0.420 eV per atom; offset from the most stable computed form = 266.3 meV per atom; raw total energy = -5.03 eV per atom; DOS(E_F) = 5.2 states/eV/f.u.; SG = R-3m, No. 166
1.0
3.4026 0.0000 0.0000
1.7013 2.9468 0.0000
1.7013 0.9823 12.8341
Hf La Ca
1 2 1
Cartesian
0.0000 0.0000 0.0000
1.7013 0.9823 9.7793
5.1039 2.9468 3.0549
3.4026 1.9645 6.4171

Entry 8:
GGA-PBE Ac2TbPmTe5, relaxed; spin magnetization = 0.0 μB/f.u.; raw total energy = -4.71 eV per atom; DOS(E_F) = 6.9 states/eV/f.u.; SG = P4/mmm, No. 123; formation energy without anion corrections = -1.01 eV/atom
1.0
-2.3261 0.8007 4.9511
0.0214 -5.4561 0.8924
10.7041 0.8422 4.8928
Te Pm Ac Tb
5 1 2 1
Cartesian
2.6497 0.2085 1.2112
4.1890 0.8214 4.9220
-1.1524 -2.3277 2.9217
5.3627 -2.3070 2.8926
8.0544 0.6337 3.6817
0.0000 0.0000 0.0000
6.3216 -1.7397 6.3381
2.0777 -2.0736 4.3982
5.3520 0.4211 2.4464